No. 1
DFT (PBE) results for crystalline MgAg2 at its relaxed geometry.

a b c (Å): 3.0985 4.0480 19.4359
angles (deg): 90.00 90.00 90.00
Space group Imma (No. 74)
Inequivalent atoms, fractional coordinates:
1 Mg 0.0000 0.2500 0.1149 [4 per cell]
2 Ag 0.0000 0.2500 0.5468 [4 per cell]
3 Ag 0.0000 0.2500 0.6903 [4 per cell]

Offset from the most stable computed form, eV per atom: 0.159
E_form, eV per atom: -0.018


No. 2
DFT (PBE) results for crystalline SiOs2Pt at its relaxed geometry.

a b c (Å): 9.9827 2.8000 9.1659
angles (deg): 90.00 114.63 90.00
Space group Cm (No. 8)
Inequivalent atoms, fractional coordinates:
1 Si 0.0000 0.0000 0.0000 [2 per cell]
2 Si 0.1322 0.5000 0.6448 [2 per cell]
3 Os 0.1692 0.0000 0.4323 [2 per cell]
4 Os 0.1854 0.5000 0.1935 [2 per cell]
5 Os 0.4200 0.5000 0.4818 [2 per cell]
6 Os 0.4283 0.0000 0.2332 [2 per cell]
7 Pt 0.2424 0.5000 0.9288 [2 per cell]
8 Pt 0.4029 0.0000 0.7489 [2 per cell]

Formation energy without anion corrections, meV/atom: -163.8


No. 3
DFT (PBE) results for crystalline PrTmZnPt at its relaxed geometry.

a b c (Å): 7.1568 7.1568 7.1568
angles (deg): 90.00 90.00 90.00
Space group F-43m (No. 216)
Inequivalent atoms, fractional coordinates:
1 Pr 0.0000 0.0000 0.0000 [4 per cell]
2 Tm 0.0000 0.0000 0.5000 [4 per cell]
3 Zn 0.2500 0.2500 0.7500 [4 per cell]
4 Pt 0.2500 0.2500 0.2500 [4 per cell]

Offset from the most stable computed form, eV per atom: 0.045
E_form, eV per atom: -0.712


No. 4
DFT (PBE) results for crystalline Mo3Ru at its relaxed geometry.

a b c (Å): 4.7183 4.7183 4.7183
angles (deg): 90.00 90.00 90.00
Space group Pm-3m (No. 221)
Inequivalent atoms, fractional coordinates:
1 Mo 0.0000 0.0000 0.5000 [3 per cell]
2 Ru 0.0000 0.0000 0.0000 [1 per cell]

E_form, eV per atom: 2.473


No. 5
DFT (PBE) results for crystalline Rb4Pt3 at its relaxed geometry.

a b c (Å): 3.7357 3.7357 38.7376
angles (deg): 90.00 90.00 90.00
Space group I4/mmm (No. 139)
Inequivalent atoms, fractional coordinates:
1 Rb 0.0000 0.0000 0.0515 [4 per cell]
2 Rb 0.0000 0.0000 0.3226 [4 per cell]
3 Pt 0.0000 0.0000 0.2439 [4 per cell]
4 Pt 0.0000 0.0000 0.5000 [2 per cell]

Offset from the most stable computed form, eV per atom: 0.000
E_form, eV per atom: 0.149


No. 6
DFT (PBE) results for crystalline Cs2PH2 at its relaxed geometry.

a b c (Å): 3.6774 3.6774 19.5661
angles (deg): 90.00 90.00 90.00
Space group I4/mmm (No. 139)
Inequivalent atoms, fractional coordinates:
1 Cs 0.0000 0.0000 0.1325 [4 per cell]
2 P 0.0000 0.0000 0.5000 [2 per cell]
3 H 0.0000 0.5000 0.2500 [4 per cell]

Offset from the most stable computed form, eV per atom: 0.537


No. 7
DFT (PBE) results for crystalline PaAlCo3Si at its relaxed geometry.

a b c (Å): 6.0166 11.1214 5.4170
angles (deg): 90.00 90.00 90.00
Space group Cmcm (No. 63)
Inequivalent atoms, fractional coordinates:
1 Pa 0.0000 0.1935 0.2500 [4 per cell]
2 Al 0.0000 0.4539 0.2500 [4 per cell]
3 Co 0.0000 0.3291 0.7500 [4 per cell]
4 Co 0.2004 0.0000 0.0000 [8 per cell]
5 Si 0.0000 0.1281 0.7500 [4 per cell]

Formation energy without anion corrections, meV/atom: -254.8


No. 8
DFT (PBE) results for crystalline Li2Ca4Br9 at its relaxed geometry.

a b c (Å): 7.2293 7.2309 19.9840
angles (deg): 89.99 89.99 60.01
Space group P-1 (No. 2)
Inequivalent atoms, fractional coordinates:
1 Li 0.0006 0.0004 0.1608 [2 per cell]
2 Li 0.0010 0.9991 0.3387 [2 per cell]
3 Ca 0.3325 0.3334 0.8209 [2 per cell]
4 Ca 0.3334 0.3336 0.0106 [2 per cell]
5 Ca 0.3331 0.3336 0.5107 [2 per cell]
6 Ca 0.3342 0.3330 0.3209 [2 per cell]
7 Br 0.0009 0.3004 0.2499 [2 per cell]
8 Br 0.0224 0.3203 0.9150 [2 per cell]
9 Br 0.0228 0.6561 0.4147 [2 per cell]
10 Br 0.2999 0.0001 0.7500 [2 per cell]
11 Br 0.3014 0.6991 0.2500 [2 per cell]
12 Br 0.3210 0.0226 0.4149 [2 per cell]
13 Br 0.3208 0.6565 0.9147 [2 per cell]
14 Br 0.3429 0.6796 0.5851 [2 per cell]
15 Br 0.3437 0.9774 0.0852 [2 per cell]

Formation energy without anion corrections, meV/atom: -1748.6


No. 9
DFT (PBE) results for crystalline LaTh2 at its relaxed geometry.

a b c (Å): 3.5891 18.9086 5.9789
angles (deg): 90.00 90.00 90.00
Space group Cmcm (No. 63)
Inequivalent atoms, fractional coordinates:
1 La 0.0000 0.2196 0.2500 [4 per cell]
2 Th 0.0000 0.1061 0.7500 [4 per cell]
3 Th 0.0000 0.4463 0.7500 [4 per cell]

Offset from the most stable computed form, eV per atom: 0.017
E_form, eV per atom: 0.062


No. 10
DFT (PBE) results for crystalline K2TlCuI5 at its relaxed geometry.

a b c (Å): 4.5614 21.8596 14.9164
angles (deg): 90.00 90.00 90.00
Space group Cmc2_1 (No. 36)
Inequivalent atoms, fractional coordinates:
1 K 0.0000 0.1183 0.0000 [4 per cell]
2 K 0.0000 0.1188 0.6503 [4 per cell]
3 Tl 0.0000 0.1986 0.3526 [4 per cell]
4 Cu 0.0000 0.4477 0.7132 [4 per cell]
5 I 0.0000 0.0306 0.2994 [4 per cell]
6 I 0.0000 0.2891 0.0146 [4 per cell]
7 I 0.0000 0.3298 0.6814 [4 per cell]
8 I 0.0000 0.3472 0.3255 [4 per cell]
9 I 0.0000 0.4943 0.0610 [4 per cell]

Formation energy without anion corrections, meV/atom: -811.8


No. 11
DFT (PBE) results for crystalline La6PmHo12 at its relaxed geometry.

a b c (Å): 11.1507 11.1507 17.7448
angles (deg): 90.00 90.00 120.00
Space group R-3m (No. 166, hexagonal axes)
Inequivalent atoms, fractional coordinates:
1 La 0.0691 0.5345 0.2658 [18 per cell]
2 Pm 0.0000 0.0000 0.5000 [3 per cell]
3 Ho 0.1055 0.5527 0.9131 [18 per cell]
4 Ho 0.1059 0.2119 0.9075 [18 per cell]

Offset from the most stable computed form, eV per atom: 0.000
E_form, eV per atom: 0.124


No. 12
DFT (PBE) results for crystalline CsErSb2 at its relaxed geometry.

a b c (Å): 4.7511 4.7511 25.1629
angles (deg): 90.00 90.00 120.00
Space group R-3m (No. 166, hexagonal axes)
Inequivalent atoms, fractional coordinates:
1 Cs 0.0000 0.0000 0.0000 [3 per cell]
2 Er 0.0000 0.0000 0.5000 [3 per cell]
3 Sb 0.0000 0.0000 0.2215 [6 per cell]

Formation energy without anion corrections, meV/atom: -477.2


No. 13
DFT (PBE) results for crystalline La2YP2N6 at its relaxed geometry.

a b c (Å): 5.6218 5.6218 17.8471
angles (deg): 90.00 90.00 120.00
Space group R-3m (No. 166, hexagonal axes)
Inequivalent atoms, fractional coordinates:
1 La 0.0000 0.0000 0.2088 [6 per cell]
2 Y 0.0000 0.0000 0.0000 [3 per cell]
3 P 0.0000 0.0000 0.4128 [6 per cell]
4 N 0.0090 0.5045 0.2410 [18 per cell]

Formation energy without anion corrections, meV/atom: -1026.7


No. 14
DFT (PBE) results for crystalline Sr2MnCd at its relaxed geometry.

a b c (Å): 3.9767 5.6188 11.5360
angles (deg): 90.00 90.00 90.00
Space group Imm2 (No. 44)
Inequivalent atoms, fractional coordinates:
1 Sr 0.0000 0.0000 0.0000 [2 per cell]
2 Sr 0.0000 0.5000 0.2083 [2 per cell]
3 Mn 0.0000 0.0000 0.4389 [2 per cell]
4 Cd 0.0000 0.5000 0.7665 [2 per cell]

E_form, eV per atom: 0.188


No. 15
DFT (PBE) results for crystalline LiP2Ir at its relaxed geometry.

a b c (Å): 3.6273 3.6273 8.0176
angles (deg): 90.00 90.00 90.00
Space group I-4m2 (No. 119)
Inequivalent atoms, fractional coordinates:
1 Li 0.0000 0.0000 0.0000 [2 per cell]
2 P 0.0000 0.0000 0.5000 [2 per cell]
3 P 0.0000 0.5000 0.7500 [2 per cell]
4 Ir 0.0000 0.5000 0.2500 [2 per cell]

Offset from the most stable computed form, eV per atom: 0.526
E_form, eV per atom: -0.057


No. 16
DFT (PBE) results for crystalline Pu2PaBe at its relaxed geometry.

a b c (Å): 4.3220 4.3220 4.4803
angles (deg): 90.00 90.00 90.00
Space group P4/mmm (No. 123)
Inequivalent atoms, fractional coordinates:
1 Pu 0.0000 0.5000 0.0000 [2 per cell]
2 Pa 0.0000 0.0000 0.5000 [1 per cell]
3 Be 0.5000 0.5000 0.5000 [1 per cell]

Offset from the most stable computed form, eV per atom: 0.055
E_form, eV per atom: 0.263


No. 17
DFT (PBE) results for crystalline SrCaZn2Ni at its relaxed geometry.

a b c (Å): 4.9120 4.9120 4.9702
angles (deg): 90.00 90.00 90.00
Space group P4/mmm (No. 123)
Inequivalent atoms, fractional coordinates:
1 Sr 0.0000 0.0000 0.0000 [1 per cell]
2 Ca 0.5000 0.5000 0.0000 [1 per cell]
3 Zn 0.0000 0.5000 0.5000 [2 per cell]
4 Ni 0.5000 0.5000 0.5000 [1 per cell]

E_form, eV per atom: -0.083


No. 18
DFT (PBE) results for crystalline La7Bi3N2 at its relaxed geometry.

a b c (Å): 5.1746 25.9907 5.0152
angles (deg): 90.00 90.00 90.00
Space group Cmmm (No. 65)
Inequivalent atoms, fractional coordinates:
1 La 0.0000 0.0000 0.0000 [2 per cell]
2 La 0.0000 0.0938 0.5000 [4 per cell]
3 La 0.0000 0.1973 0.0000 [4 per cell]
4 La 0.0000 0.4019 0.0000 [4 per cell]
5 Bi 0.0000 0.3091 0.5000 [4 per cell]
6 Bi 0.0000 0.5000 0.5000 [2 per cell]
7 N 0.0000 0.1030 0.0000 [4 per cell]

Offset from the most stable computed form, eV per atom: 0.027
Formation energy without anion corrections, meV/atom: -987.2


No. 19
DFT (PBE) results for crystalline CeS4 at its relaxed geometry.

a b c (Å): 5.3388 5.3388 5.3388
angles (deg): 90.00 90.00 90.00
Space group Pm-3m (No. 221)
Inequivalent atoms, fractional coordinates:
1 Ce 0.0000 0.0000 0.0000 [1 per cell]
2 S 0.0000 0.0000 0.5000 [3 per cell]
3 S 0.5000 0.5000 0.5000 [1 per cell]

Formation energy without anion corrections, meV/atom: -3.5


No. 20
DFT (PBE) results for crystalline CdI2O2 at its relaxed geometry.

a b c (Å): 4.2367 4.2367 11.5539
angles (deg): 90.00 90.00 90.00
Space group I4/mmm (No. 139)
Inequivalent atoms, fractional coordinates:
1 Cd 0.0000 0.0000 0.0000 [2 per cell]
2 I 0.0000 0.0000 0.3568 [4 per cell]
3 O 0.0000 0.5000 0.2500 [4 per cell]

Offset from the most stable computed form, eV per atom: 0.613
Formation energy without anion corrections, meV/atom: 596.9


Calculated calculated volume (Å³ per cell), listed in the same order as above: 243.8; 232.9; 366.6; 105.0; 540.6; 264.6; 362.5; 904.8; 405.8; 1487.3; 1910.8; 491.9; 488.5; 257.8; 105.5; 83.7; 119.9; 674.5; 152.2; 207.4
Calculated DOS at the Fermi energy (states/eV/f.u.), listed in the same order as above: 1.29; 2.23; 3.22; 6.43; 4.56; 3.38; 4.26; 6.47; 4.91; 8.63; 29.61; 3.77; 2.18; 4.68; 1.51; 9.03; 3.69; 7.92; 3.76; 1.48